Material: Ac4RuSe2Br
Method: DFT, PBE
State: optimized geometry

Results
Raw formation energy: -962.9 kJ/mol of formula units
Crystal system: monoclinic
M_tot: 0.00 μB/cell
Electronic total energy: -5.54 eV/atom
ρ: 8.0 g/cm³

Lattice parameters (Å, degrees): 4.338 7.927 7.867 107.01 90.00 90.00
Fractional coordinates of all 8 atoms:
Se 0.000 0.500 0.500
Br 0.000 0.000 0.000
Se 0.500 0.000 0.500
Ac 0.000 0.281 0.773
Ac 0.500 0.724 0.753
Ac 0.500 0.276 0.247
Ru 0.500 0.500 0.000
Ac 0.000 0.719 0.227